Entry 1:
Density functional theory data (PBE) for a relaxed structure of As2PdBrN.

Unit cell a=4.2879 b=4.2879 c=4.8001 alpha=90.00 beta=90.00 gamma=90.00
Element x y z (fractional)
As 0.0000 0.5000 0.0000
As 0.5000 0.0000 0.0000
Br 0.0000 0.0000 0.5000
Pd 0.5000 0.5000 0.5000
N 0.0000 0.0000 0.0000

Raw formation energy in meV per atom: 945
Total DFT energy (no corrections) in eV per atom: -3.95
V in Å³/atom: 17.651
E above lowest polymorph in meV per atom: 0
DOS(E_F) in states/eV/f.u.: 2.61



Entry 2:
Density functional theory data (PBE) for a relaxed structure of Y3HoTm4.

Unit cell a=3.4545 b=6.5755 c=11.7953 alpha=106.17 beta=98.42 gamma=90.00
Element x y z (fractional)
Y 0.0000 0.5000 0.0000
Y 0.1259 0.8797 0.2519
Y 0.8741 0.1203 0.7481
Tm 0.7390 0.2436 0.4780
Tm 0.2610 0.7564 0.5220
Tm 0.1249 0.3663 0.2498
Tm 0.8751 0.6337 0.7502
Ho 0.5000 0.0000 0.0000

Total DFT energy (no corrections) in eV per atom: -5.06
Energy of formation in eV/atom: 0.171
V in Å³/atom: 31.790
E above lowest polymorph in meV per atom: 170
DOS(E_F) in states/eV/f.u.: 13.57